VASP calculation (PBE) on a relaxed PmHo2Mn crystal.

Unit cell a=3.493 b=3.493 c=8.922 alpha=90.00 beta=90.00 gamma=90.00
Space group P4/mmm (No. 123)
Unique sites:
Pm (0.000, 0.000, 0.000)
Ho (0.500, 0.500, 0.306)
Mn (0.000, 0.000, 0.500)

Values from the calculation:
Its raw total energy is -22.61 eV per formula unit. The formation enthalpy at 0 K is 117 meV per atom. The value obtained for the density of states at the Fermi level is 1.4517 states/eV/atom. Its excess energy over the best structure of this formula in the dataset is 0.0 kJ per mole of atoms.

VASP calculation (PBE) on a relaxed PmHoMnRu crystal.

Unit cell a=7.007 b=7.007 c=7.007 alpha=90.00 beta=90.00 gamma=90.00
Space group F-43m (No. 216)
Unique sites:
Pm (0.000, 0.000, 0.000)
Ho (0.000, 0.000, 0.500)
Mn (0.250, 0.250, 0.750)
Ru (0.250, 0.250, 0.250)

Values from the calculation:
Its raw total energy is -27.80 eV per formula unit. The formation enthalpy at 0 K is -8 meV per atom. The value obtained for the density of states at the Fermi level is 0.5997 states/eV/atom.

VASP calculation (PBE) on a relaxed Pm2HoMnS5 crystal.

Unit cell a=3.903 b=16.506 c=11.917 alpha=90.00 beta=90.00 gamma=90.00
Space group Cmc2_1 (No. 36)
Unique sites:
Pm (0.000, 0.119, 0.000)
Pm (0.000, 0.122, 0.651)
Ho (0.000, 0.184, 0.333)
Mn (0.000, 0.450, 0.736)
S (0.000, 0.017, 0.331)
S (0.000, 0.301, 0.993)
S (0.000, 0.312, 0.669)
S (0.000, 0.347, 0.325)
S (0.000, 0.493, 0.062)

Values from the calculation:
Its formation energy (no corrections) is -1.7179 eV per atom. Its raw total energy is -59.35 eV per formula unit. The value obtained for the density of states at the Fermi level is 0.3169 states/eV/atom.

VASP calculation (PBE) on a relaxed Pm2HoMnSe5 crystal.

Unit cell a=4.056 b=17.569 c=12.345 alpha=90.00 beta=90.00 gamma=90.00
Space group Cmc2_1 (No. 36)
Unique sites:
Pm (0.000, 0.113, 0.000)
Pm (0.000, 0.127, 0.625)
Ho (0.000, 0.196, 0.324)
Mn (0.000, 0.444, 0.759)
Se (0.000, 0.041, 0.373)
Se (0.000, 0.289, 0.986)
Se (0.000, 0.313, 0.661)
Se (0.000, 0.358, 0.314)
Se (0.000, 0.495, 0.082)

Values from the calculation:
Its formation energy (no corrections) is -1.5335 eV per atom. Its raw total energy is -54.47 eV per formula unit. The value obtained for the density of states at the Fermi level is 0.3422 states/eV/atom.

VASP calculation (PBE) on a relaxed PmHoMnZn crystal.

Unit cell a=7.174 b=7.174 c=7.174 alpha=90.00 beta=90.00 gamma=90.00
Space group F-43m (No. 216)
Unique sites:
Pm (0.000, 0.000, 0.000)
Ho (0.000, 0.000, 0.500)
Mn (0.250, 0.250, 0.750)
Zn (0.250, 0.250, 0.250)

Values from the calculation:
Its raw total energy is -19.87 eV per formula unit. The formation enthalpy at 0 K is -24 meV per atom. The value obtained for the density of states at the Fermi level is 1.3151 states/eV/atom.

VASP calculation (PBE) on a relaxed PrHoMn17 crystal.

Unit cell a=8.6984 b=8.6984 c=11.6916 alpha=90.00 beta=90.00 gamma=120.00
Space group R3m (No. 160, hexagonal axes)
Unique sites:
Pr (0.0000, 0.0000, 0.0000)
Ho (0.0000, 0.0000, 0.7101)
Mn (0.0000, 0.0000, 0.2583)
Mn (0.0000, 0.0000, 0.4570)
Mn (0.0008, 0.2740, 0.3578)
Mn (0.0167, 0.5083, 0.2184)
Mn (0.1674, 0.3349, 0.1915)
Mn (0.1739, 0.3478, 0.8280)

Values from the calculation:
Its raw total energy is -164.56 eV per formula unit. The formation enthalpy at 0 K is 36 meV per atom. The value obtained for the density of states at the Fermi level is 0.9754 states/eV/atom.

VASP calculation (PBE) on a relaxed Pr2HoMn crystal.

Unit cell a=3.655 b=3.655 c=8.878 alpha=90.00 beta=90.00 gamma=90.00
Space group P4/mmm (No. 123)
Unique sites:
Pr (0.000, 0.000, 0.213)
Ho (0.500, 0.500, 0.500)
Mn (0.500, 0.500, 0.000)

Values from the calculation:
Its raw total energy is -22.54 eV per formula unit. The formation enthalpy at 0 K is 191 meV per atom. The value obtained for the density of states at the Fermi level is 1.3867 states/eV/atom.

VASP calculation (PBE) on a relaxed Pr2HoMnSe5 crystal.

Unit cell a=4.093 b=17.442 c=12.551 alpha=90.00 beta=90.00 gamma=90.00
Space group Cmc2_1 (No. 36)
Unique sites:
Pr (0.000, 0.118, 0.000)
Pr (0.000, 0.121, 0.350)
Ho (0.000, 0.183, 0.680)
Mn (0.000, 0.446, 0.082)
Se (0.000, 0.018, 0.679)
Se (0.000, 0.303, 0.339)
Se (0.000, 0.308, 0.016)
Se (0.000, 0.345, 0.673)
Se (0.000, 0.495, 0.407)

Values from the calculation:
Its formation energy (no corrections) is -1.5586 eV per atom. Its raw total energy is -54.76 eV per formula unit. The value obtained for the density of states at the Fermi level is 0.3204 states/eV/atom.